Here is crystalline CaLa2Mn at its relaxed geometry from Alexandria via LeMat-Bulk. Energies are from PBE-GGA.

Properties
As for the energy relative to the elements: 1.157 eV per formula unit. As for the calculated volume: 132.1 Å³/cell. As for the crystal system: trigonal. The polymorph energy (0 for the lowest one) comes out at 117 meV/atom.

a = 11.171 Å, b = 11.171 Å, c = 11.171 Å
α = 19.23°, β = 19.23°, γ = 19.23°
Each line ends with the local moment (μB).
Element x y z (fractional)
Mn (0.250, 0.250, 0.250)  3.40
La (0.518, 0.518, 0.518)  -0.17
La (0.982, 0.982, 0.982)  -0.17
Ca (0.750, 0.750, 0.750)  -0.02